1.
# NaHfTlTe3 | OQMD | PBE | relaxed
# polymorph energy (0 for the lowest one): 10 meV per atom
# space group: P2_1/m (11)
# calculated total energy: -4.49 eV per atom
# spin magnetization: 0.001 μB per atom
# volume: 389 Å³/cell
data_NaHfTlTe3
_chemical_formula_sum 'Na2 Hf2 Tl2 Te6'
_cell_length_a 8.489
_cell_length_b 4.201
_cell_length_c 11.276
_cell_angle_alpha 90.00
_cell_angle_beta 104.60
_cell_angle_gamma 90.00
_space_group_name_H-M_alt 'P 1'
_space_group_IT_number 1
_space_group_name_Hall 'P 1'
loop_
_atom_site_label
_atom_site_fract_x
_atom_site_fract_y
_atom_site_fract_z
_atom_site_occupancy
Te1 0.069 0.250 0.380 1
Te2 0.931 0.750 0.620 1
Te3 0.406 0.750 0.621 1
Na1 0.538 0.250 0.111 1
Te4 0.791 0.750 0.090 1
Hf1 0.812 0.750 0.347 1
Tl1 0.797 0.250 0.812 1
Te5 0.594 0.250 0.379 1
Hf2 0.188 0.250 0.653 1
Tl2 0.203 0.750 0.188 1
Te6 0.209 0.250 0.910 1
Na2 0.462 0.750 0.889 1

2.
# NaHfTlTe3 | OQMD | PBE | relaxed
# polymorph energy (0 for the lowest one): 0 meV per atom
# space group: Pnma (62)
# calculated total energy: -4.50 eV per atom
# spin magnetization: 0.000 μB per atom
# volume: 793 Å³/cell
data_NaHfTlTe3
_chemical_formula_sum 'Na4 Hf4 Tl4 Te12'
_cell_length_a 15.036
_cell_length_b 4.222
_cell_length_c 12.491
_cell_angle_alpha 90.00
_cell_angle_beta 90.00
_cell_angle_gamma 90.00
_space_group_name_H-M_alt 'P 1'
_space_group_IT_number 1
_space_group_name_Hall 'P 1'
loop_
_atom_site_label
_atom_site_fract_x
_atom_site_fract_y
_atom_site_fract_z
_atom_site_occupancy
Te1 0.399 0.750 0.437 1
Te2 0.101 0.250 0.937 1
Te3 0.359 0.250 0.707 1
Te4 0.089 0.750 0.659 1
Hf1 0.985 0.750 0.850 1
Te5 0.899 0.750 0.063 1
Na1 0.046 0.750 0.414 1
Tl1 0.778 0.750 0.484 1
Te6 0.589 0.750 0.841 1
Te7 0.911 0.250 0.341 1
Te8 0.641 0.750 0.293 1
Tl2 0.278 0.750 0.016 1
Na2 0.546 0.750 0.086 1
Tl3 0.222 0.250 0.516 1
Te9 0.601 0.250 0.563 1
Te10 0.859 0.250 0.793 1
Te11 0.141 0.750 0.207 1
Hf2 0.485 0.750 0.650 1
Hf3 0.015 0.250 0.150 1
Hf4 0.515 0.250 0.350 1
Te12 0.411 0.250 0.159 1
Na3 0.454 0.250 0.914 1
Na4 0.954 0.250 0.586 1
Tl4 0.722 0.250 0.984 1

3.
# NaHfZnTe3 | OQMD | PBE | relaxed
# space group: Cmcm (63)
# calculated total energy: -4.27 eV per atom
# spin magnetization: 0.121 μB per atom
# volume: 331 Å³/cell
data_NaHfZnTe3
_chemical_formula_sum 'Na2 Hf2 Zn2 Te6'
_cell_length_a 7.786
_cell_length_b 7.786
_cell_length_c 10.837
_cell_angle_alpha 90.00
_cell_angle_beta 90.00
_cell_angle_gamma 149.79
_space_group_name_H-M_alt 'P 1'
_space_group_IT_number 1
_space_group_name_Hall 'P 1'
loop_
_atom_site_label
_atom_site_fract_x
_atom_site_fract_y
_atom_site_fract_z
_atom_site_occupancy
Te1 0.588 0.412 0.250 1
Te2 0.135 0.865 0.553 1
Te3 0.865 0.135 0.053 1
Zn1 0.030 0.970 0.750 1
Zn2 0.970 0.030 0.250 1
Te4 0.865 0.135 0.447 1
Te5 0.412 0.588 0.750 1
Hf1 0.500 0.500 0.500 1
Te6 0.135 0.865 0.947 1
Na1 0.733 0.267 0.750 1
Hf2 0.500 0.500 0.000 1
Na2 0.267 0.733 0.250 1

4.
# NaHf2Tl | OQMD | PBE | relaxed
# space group: F-43m (216)
# calculated total energy: -5.34 eV per atom
# spin magnetization: 0.586 μB per atom
# volume: 94 Å³/cell
data_NaHf2Tl
_chemical_formula_sum 'Na1 Hf2 Tl1'
_cell_length_a 5.103
_cell_length_b 5.103
_cell_length_c 5.103
_cell_angle_alpha 60.00
_cell_angle_beta 60.00
_cell_angle_gamma 60.00
_space_group_name_H-M_alt 'P 1'
_space_group_IT_number 1
_space_group_name_Hall 'P 1'
loop_
_atom_site_label
_atom_site_fract_x
_atom_site_fract_y
_atom_site_fract_z
_atom_site_occupancy
Hf1 0.750 0.750 0.750 1
Tl1 0.500 0.500 0.500 1
Na1 0.250 0.250 0.250 1
Hf2 0.000 0.000 0.000 1